## ZrB3Au (GGA-PBE)

Data for an optimized crystal structure of ZrB3Au.

Summary:
DFT formation energy: 1.40 eV/atom
crystal system: cubic
total magnetization: 0.00 μB/atom
V: 71.7 Å³/f.u.
VASP energy: -4.9714 eV per atom

Cell: 4.154 4.154 4.154 Å, 90.00 90.00 90.00°
Space group Pm-3m (No. 221)
One atom of each set of equivalent atoms:
Zr 0.000 0.000 0.000 [1 per cell]
B 0.000 0.500 0.500 [3 per cell]
Au 0.500 0.500 0.500 [1 per cell]